A plane-wave DFT calculation with PBEsol was carried out for crystalline FeP2PdO at its relaxed geometry.

extended XYZ file:
```
5
Lattice="4.519 0.000 0.000 0.000 4.519 0.000 0.000 0.000 3.282" Properties=species:S:1:pos:R:3 pbc="T T T"
Fe 0.000 0.000 0.000
P 0.000 2.260 0.000
P 2.260 0.000 0.000
Pd 2.260 2.260 1.641
O 0.000 0.000 1.641
```

## Properties
Theoretical density ... 6.0 g cm⁻³
E_tot ... -6.466 eV/atom
SG ... No. 123
Formation energy from raw total energies ... -115 meV/atom
Crystal system ... tetragonal
Total magnetization ... 0.0 Bohr magnetons per cell

A plane-wave DFT calculation with PBEsol was carried out for crystalline FeP2PdO at its relaxed geometry.

extended XYZ file:
```
5
Lattice="4.666 0.000 0.000 0.000 4.666 0.000 0.000 0.000 3.712" Properties=species:S:1:pos:R:3 pbc="T T T"
Fe 0.000 0.000 0.000
P 0.000 2.333 1.856
P 2.333 0.000 1.856
Pd 2.333 2.333 1.856
O 2.333 2.333 0.000
```

## Properties
Theoretical density ... 4.9 g cm⁻³
E_tot ... -5.566 eV/atom
SG ... No. 123
Formation energy from raw total energies ... 785 meV/atom
Crystal system ... tetragonal
Total magnetization ... 3.8 Bohr magnetons per cell

A plane-wave DFT calculation with PBEsol was carried out for crystalline FeSb3P6O24 at its relaxed geometry.

extended XYZ file:
```
34
Lattice="4.122 2.380 7.422 -4.122 2.380 7.422 0.000 -4.760 7.422" Properties=species:S:1:pos:R:3 pbc="T T T"
Fe 0.000 0.000 0.000
Sb 0.000 0.000 4.643
Sb 0.000 0.000 11.260
Sb 0.000 0.000 15.913
P -1.178 -2.754 9.766
P -2.423 -0.076 13.520
P -1.796 2.397 9.766
P 1.277 -2.061 13.520
P 2.974 0.356 9.766
P 1.146 2.137 13.520
O -0.224 -1.617 3.536
O -1.498 -0.604 5.757
O -0.806 -3.401 8.468
O -1.288 1.003 3.536
O -3.608 -0.979 13.688
O -2.542 2.398 8.468
O -0.174 -1.609 10.105
O -1.504 -0.647 12.394
O 1.271 -0.995 5.757
O -1.307 0.955 10.105
O 1.513 0.614 3.536
O 0.226 1.599 5.757
O -1.630 0.100 14.834
O -0.537 -1.456 17.121
O 1.312 -0.979 12.394
O 0.729 -1.461 14.834
O 1.481 0.654 10.105
O 0.192 1.626 12.394
O -0.992 1.193 17.121
O 2.652 -2.635 13.688
O 3.348 1.002 8.468
O 0.901 1.362 14.834
O 1.529 0.263 17.121
O 0.956 3.615 13.688
```

## Properties
Theoretical density ... 3.8 g cm⁻³
E_tot ... -7.237 eV/atom
SG ... No. 146
Formation energy from raw total energies ... -1843 meV/atom
Crystal system ... trigonal
Total magnetization ... 1.0 Bohr magnetons per cell

A plane-wave DFT calculation with PBEsol was carried out for crystalline FeSbP2O8 at its relaxed geometry.

extended XYZ file:
```
24
Lattice="4.869 0.000 0.000 0.000 6.404 0.000 -1.972 0.000 9.750" Properties=species:S:1:pos:R:3 pbc="T T T"
Fe 0.198 1.601 2.102
Fe 2.699 4.803 7.649
Sb 0.122 1.601 6.578
Sb 2.775 4.803 3.172
P 0.375 4.803 1.126
P 0.038 4.803 5.873
P 2.860 1.601 3.878
P 2.523 1.601 8.624
O -1.431 4.803 9.347
O -0.238 4.803 4.378
O -0.671 3.642 6.645
O -0.671 5.964 6.645
O -0.813 1.601 8.349
O 1.041 3.549 1.757
O 1.041 6.057 1.757
O 1.343 1.601 3.667
O 1.555 4.803 6.083
O 1.856 0.347 7.993
O 1.856 2.855 7.993
O 3.711 4.803 1.402
O 3.569 0.440 3.105
O 3.569 2.762 3.105
O 3.135 1.601 5.373
O 4.328 1.601 0.403
```

## Properties
Theoretical density ... 4.0 g cm⁻³
E_tot ... -7.405 eV/atom
SG ... No. 11
Formation energy from raw total energies ... -1814 meV/atom
Crystal system ... monoclinic
Total magnetization ... 10.0 Bohr magnetons per cell

A plane-wave DFT calculation with PBEsol was carried out for crystalline Fe3SbP6O24 at its relaxed geometry.

extended XYZ file:
```
34
Lattice="4.029 2.326 7.203 -4.029 2.326 7.203 0.000 -4.652 7.203" Properties=species:S:1:pos:R:3 pbc="T T T"
Fe 0.000 0.000 0.000
Fe 0.000 0.000 4.513
Fe 0.000 0.000 15.127
Sb 0.000 0.000 10.589
P -2.960 0.347 9.326
P -1.151 -2.024 13.025
P 1.179 -2.737 9.326
P -1.177 2.009 13.025
P 1.780 2.390 9.326
P 2.328 0.015 13.025
O -0.524 -1.342 5.682
O -2.820 1.444 8.238
O -3.318 0.947 10.695
O -2.618 -1.731 13.357
O 0.159 -3.164 8.238
O -1.529 -0.245 9.392
O -0.900 1.124 5.682
O -0.926 -1.360 11.645
O 0.839 -3.347 10.695
O 1.424 0.218 5.682
O 0.977 -1.202 9.392
O -0.122 -1.507 14.067
O -1.379 -0.698 16.200
O -0.715 1.482 11.645
O -1.244 0.859 14.067
O 0.553 1.447 9.392
O 1.641 -0.122 11.645
O -0.190 3.132 13.357
O 2.660 1.720 8.238
O 1.294 -0.845 16.200
O 2.808 -1.402 13.357
O 1.366 0.648 14.067
O 0.085 1.543 16.200
O 2.479 2.400 10.695
```

## Properties
Theoretical density ... 3.5 g cm⁻³
E_tot ... -7.394 eV/atom
SG ... No. 146
Formation energy from raw total energies ... -1742 meV/atom
Crystal system ... trigonal
Total magnetization ... 7.0 Bohr magnetons per cell

A plane-wave DFT calculation with PBEsol was carried out for crystalline FeSbP4O14 at its relaxed geometry.

extended XYZ file:
```
80
Lattice="7.905 0.000 0.000 0.000 15.973 0.000 0.000 0.000 7.913" Properties=species:S:1:pos:R:3 pbc="T T T"
Fe 0.073 2.018 0.000
Fe 3.880 10.005 3.956
Fe 4.025 5.968 0.000
Fe 7.832 13.955 3.956
Sb 0.168 6.022 3.984
Sb 3.784 14.009 0.028
Sb 4.121 1.964 3.984
Sb 7.737 9.951 0.028
P 0.734 13.017 7.025
P 0.812 9.078 4.945
P 0.835 5.186 7.058
P 0.960 1.159 4.765
P 2.992 9.145 0.808
P 3.117 13.173 3.102
P 3.141 1.091 0.988
P 3.219 5.031 3.069
P 4.686 10.943 7.025
P 4.764 14.882 4.945
P 4.788 2.800 7.058
P 4.913 6.828 4.765
P 6.945 14.815 0.808
P 7.070 10.787 3.102
P 7.093 6.895 0.988
P 7.172 2.956 3.069
O 0.058 6.467 7.656
O 0.090 5.028 5.681
O 0.190 6.831 2.181
O 0.191 15.931 4.304
O 0.493 2.460 3.930
O 0.528 3.957 7.871
O 0.532 11.492 6.929
O 0.826 13.665 5.685
O 0.910 1.550 6.222
O 1.126 7.580 4.697
O 1.513 8.997 0.345
O 1.673 13.593 2.990
O 1.866 1.861 1.101
O 1.970 5.260 3.921
O 1.982 13.247 7.877
O 2.086 9.847 5.058
O 2.279 5.607 6.947
O 2.440 1.010 4.301
O 2.827 15.567 0.741
O 3.042 9.537 2.266
O 3.126 5.678 1.729
O 3.421 3.505 2.972
O 3.425 11.944 3.915
O 3.460 10.447 7.886
O 3.761 7.945 0.347
O 3.762 14.818 6.138
O 3.863 13.014 1.724
O 3.894 14.454 3.700
O 4.011 1.519 7.656
O 4.042 2.959 5.681
O 4.143 1.156 2.181
O 4.144 8.029 4.304
O 4.446 5.526 3.930
O 4.480 4.029 7.871
O 4.484 12.468 6.929
O 4.779 10.295 5.685
O 4.863 6.437 6.222
O 5.078 0.407 4.697
O 5.465 14.963 0.345
O 5.626 10.367 2.990
O 5.819 6.126 1.101
O 5.923 2.726 3.921
O 5.935 10.713 7.877
O 6.039 14.113 5.058
O 6.232 2.380 6.947
O 6.392 6.976 4.301
O 6.779 8.393 0.741
O 6.995 14.423 2.266
O 7.079 2.309 1.729
O 7.373 4.482 2.972
O 7.377 12.016 3.915
O 7.412 13.513 7.886
O 7.714 0.042 0.347
O 7.715 9.142 6.138
O 7.815 10.946 1.724
O 7.847 9.506 3.700
```

## Properties
Theoretical density ... 3.5 g cm⁻³
E_tot ... -7.412 eV/atom
SG ... No. 33
Formation energy from raw total energies ... -1903 meV/atom
Crystal system ... orthorhombic
Total magnetization ... 20.0 Bohr magnetons per cell

A plane-wave DFT calculation with PBEsol was carried out for crystalline FeSbP2O at its relaxed geometry.

extended XYZ file:
```
5
Lattice="5.000 0.000 0.000 0.000 5.000 0.000 0.000 0.000 3.835" Properties=species:S:1:pos:R:3 pbc="T T T"
Fe 0.000 0.000 0.000
Sb 2.500 2.500 1.918
P 0.000 2.500 1.918
P 2.500 0.000 1.918
O 2.500 2.500 0.000
```

## Properties
Theoretical density ... 4.4 g cm⁻³
E_tot ... -5.246 eV/atom
SG ... No. 123
Formation energy from raw total energies ... 825 meV/atom
Crystal system ... tetragonal
Total magnetization ... 3.5 Bohr magnetons per cell

A plane-wave DFT calculation with PBEsol was carried out for crystalline V3Fe2SbP6O24 at its relaxed geometry.

extended XYZ file:
```
36
Lattice="4.349 2.511 6.629 -4.349 2.511 6.629 0.000 -5.022 6.629" Properties=species:S:1:pos:R:3 pbc="T T T"
V 0.000 0.000 0.000
V 0.000 0.000 4.290
V 0.000 0.000 10.086
Fe 0.000 0.000 7.168
Fe 0.000 0.000 17.078
Sb 0.000 0.000 14.039
P -3.032 0.332 8.809
P -1.343 -2.343 12.203
P 1.229 -2.792 8.809
P -1.357 2.334 12.203
P 1.803 2.460 8.809
P 2.700 0.008 12.203
O -3.464 1.079 7.542
O -2.872 -2.435 11.897
O -0.675 -1.284 5.578
O -3.417 1.180 10.025
O 0.797 -3.539 7.542
O -0.774 1.226 5.578
O -1.488 0.126 8.724
O 0.686 -3.550 10.025
O -0.731 -1.447 11.122
O 0.635 -1.352 8.724
O -1.087 -1.881 13.622
O 1.449 0.057 5.578
O -0.888 1.357 11.122
O -1.575 -0.153 15.647
O 0.854 1.226 8.724
O -1.085 1.881 13.622
O 1.619 0.090 11.122
O -0.673 3.705 11.897
O 0.920 -1.288 15.647
O 2.666 2.460 7.542
O 3.545 -1.270 11.897
O 2.172 -0.001 13.622
O 0.656 1.440 15.647
O 2.731 2.369 10.025
```

## Properties
Theoretical density ... 3.7 g cm⁻³
E_tot ... -7.893 eV/atom
SG ... No. 146
Formation energy from raw total energies ... -2000 meV/atom
Crystal system ... trigonal
Total magnetization ... 12.3 Bohr magnetons per cell

Question: Which formula does entry 5 have?
Answer: Fe3SbP6O24

Question: Number 5 is which compound?
Answer: Fe3SbP6O24